18
Lattice="5.675 0.000 0.000 -2.838 4.915 0.000 0.000 0.000 8.968" Properties=species:S:1:pos:R:3 comment="DyPuMnO6 GGA+U optimized geometry" energy_ev_per_cell=-156.5 space_group="P-31c (163)" pbc="T T T"
Mn 0.000 0.000 4.484
Mn 0.000 0.000 0.000
O -0.836 1.776 5.653
O 4.555 1.612 1.169
O 3.673 3.139 3.315
O -0.881 4.751 5.653
O 3.719 0.164 3.315
O 1.121 1.612 3.315
O 1.717 3.303 5.653
O -1.717 3.303 7.799
O 2.002 3.139 1.169
O 1.956 0.164 1.169
O 0.836 1.776 7.799
O 0.881 4.751 7.799
Dy 0.000 3.277 2.242
Dy 2.838 1.638 6.726
Pu 2.838 1.638 2.242
Pu 0.000 3.277 6.726